Entry from Alexandria: a relaxed Ti6CoCu crystal (PBE).

Output
VASP energy = -7.44 eV per atom
Formation enthalpy at 0 K = -0.12 eV per atom

```
Ti6CoCu
1.0
-2.114 2.114 6.897
2.114 -2.114 6.897
2.114 2.114 -6.897
Ti Co Cu
6 1 1
direct
0.113 0.613 0.500
0.250 0.250 0.000
0.387 0.887 0.500
0.613 0.113 0.500
0.750 0.750 0.000
0.887 0.387 0.500
0.000 0.000 0.000
0.500 0.500 0.000
```

***

Entry from Alexandria: a relaxed Ba2LiInO crystal (PBE).

Output
Uncorrected formation energy = -1.0989 eV/atom
VASP energy = -3.79 eV per atom

```
Ba2LiInO
1.0
5.791 0.000 0.000
0.000 5.791 0.000
0.000 0.000 4.169
Ba Li In O
2 1 1 1
direct
0.000 0.500 0.000
0.500 0.000 0.000
0.000 0.000 0.500
0.500 0.500 0.500
0.000 0.000 0.000
```

***

Entry from Alexandria: a relaxed CeGdPaCd crystal (PBE).

Output
VASP energy = -7.38 eV per atom
Formation enthalpy at 0 K = 0.22 eV per atom

```
CeGdPaCd
1.0
0.000 3.775 3.775
3.775 0.000 3.775
3.775 3.775 0.000
Ce Gd Pa Cd
1 1 1 1
direct
0.000 0.000 0.000
0.500 0.500 0.500
0.250 0.250 0.250
0.750 0.750 0.750
```

***

Entry from Alexandria: a relaxed SrHfS2 crystal (PBE).

Output
Uncorrected formation energy = -1.2461 eV/atom
VASP energy = -6.22 eV per atom

```
SrHfS2
1.0
1.874 1.082 8.832
-1.874 1.082 8.832
0.000 -2.163 8.832
Sr Hf S
1 1 2
direct
0.000 0.000 0.000
0.500 0.500 0.500
0.112 0.112 0.112
0.888 0.888 0.888
```

***

Entry from Alexandria: a relaxed AlZnCuF6 crystal (PBE).

Output
Uncorrected formation energy = -2.4921 eV/atom
VASP energy = -4.75 eV per atom

```
AlZnCuF6
1.0
5.201 0.000 0.000
-2.601 4.504 0.000
0.000 0.000 9.364
Al Zn Cu F
2 2 2 12
direct
0.333 0.667 0.250
0.667 0.333 0.750
0.333 0.667 0.750
0.667 0.333 0.250
0.000 0.000 0.000
0.000 0.000 0.500
0.034 0.381 0.140
0.034 0.653 0.360
0.347 0.381 0.360
0.347 0.966 0.140
0.381 0.034 0.640
0.381 0.347 0.860
0.619 0.653 0.140
0.619 0.966 0.360
0.653 0.034 0.860
0.653 0.619 0.640
0.966 0.347 0.640
0.966 0.619 0.860
```

***

Entry from Alexandria: a relaxed AcThCoCu crystal (PBE).

Output
VASP energy = -5.63 eV per atom
Formation enthalpy at 0 K = 0.05 eV per atom

```
AcThCoCu
1.0
0.000 3.610 3.610
3.610 0.000 3.610
3.610 3.610 0.000
Ac Th Co Cu
1 1 1 1
direct
0.000 0.000 0.000
0.500 0.500 0.500
0.750 0.750 0.750
0.250 0.250 0.250
```

***

Entry from Alexandria: a relaxed Tm6Sn3Rh crystal (PBE).

Output
VASP energy = -5.18 eV per atom
Formation enthalpy at 0 K = -0.56 eV per atom

```
Tm6Sn3Rh
1.0
6.045 0.000 0.000
0.000 8.574 0.000
-5.619 0.000 10.523
Tm Sn Rh
12 6 2
direct
0.059 0.159 0.442
0.059 0.341 0.942
0.340 0.697 0.437
0.340 0.803 0.937
0.402 0.050 0.265
0.402 0.450 0.765
0.598 0.550 0.235
0.598 0.950 0.735
0.660 0.197 0.063
0.660 0.303 0.563
0.941 0.659 0.058
0.941 0.841 0.558
0.000 0.000 0.000
0.000 0.500 0.500
0.162 0.113 0.764
0.162 0.387 0.264
0.838 0.613 0.736
0.838 0.887 0.236
0.500 0.000 0.500
0.500 0.500 0.000
```

***

Entry from Alexandria: a relaxed Nd8Sb2Au crystal (PBE).

Output
Uncorrected formation energy = -0.5046 eV/atom
VASP energy = -5.02 eV per atom

```
Nd8Sb2Au
1.0
9.742 -2.448 0.000
9.742 2.448 0.000
-1.209 0.000 7.378
Nd Sb Au
8 2 1
direct
0.011 0.011 0.270
0.215 0.215 0.848
0.343 0.343 0.475
0.405 0.405 0.001
0.595 0.595 0.999
0.657 0.657 0.525
0.785 0.785 0.152
0.989 0.989 0.730
0.182 0.182 0.265
0.818 0.818 0.735
0.500 0.500 0.500
```

***

> Which value of VASP energy does entry 1 give?

-7.44 eV per atom

***

Please write out number 1 again, unchanged.
Entry from Alexandria: a relaxed Ti6CoCu crystal (PBE).

Output
VASP energy = -7.44 eV per atom
Formation enthalpy at 0 K = -0.12 eV per atom

```
Ti6CoCu
1.0
-2.114 2.114 6.897
2.114 -2.114 6.897
2.114 2.114 -6.897
Ti Co Cu
6 1 1
direct
0.113 0.613 0.500
0.250 0.250 0.000
0.387 0.887 0.500
0.613 0.113 0.500
0.750 0.750 0.000
0.887 0.387 0.500
0.000 0.000 0.000
0.500 0.500 0.000
```

***

What did the fifth record say?
Entry from Alexandria: a relaxed AlZnCuF6 crystal (PBE).

Output
Uncorrected formation energy = -2.4921 eV/atom
VASP energy = -4.75 eV per atom

```
AlZnCuF6
1.0
5.201 0.000 0.000
-2.601 4.504 0.000
0.000 0.000 9.364
Al Zn Cu F
2 2 2 12
direct
0.333 0.667 0.250
0.667 0.333 0.750
0.333 0.667 0.750
0.667 0.333 0.250
0.000 0.000 0.000
0.000 0.000 0.500
0.034 0.381 0.140
0.034 0.653 0.360
0.347 0.381 0.360
0.347 0.966 0.140
0.381 0.034 0.640
0.381 0.347 0.860
0.619 0.653 0.140
0.619 0.966 0.360
0.653 0.034 0.860
0.653 0.619 0.640
0.966 0.347 0.640
0.966 0.619 0.860
```